! Cs2La10Co2I17 | the Open Quantum Materials Database | GGA-PBE | relaxed; values from VASP
! Crystal system: monoclinic
! VASP energy (eV/atom): -4.2466
! Symmetry: No. 12
&SYSTEM
  ibrav = 0, nat = 31, ntyp = 4
/
ATOMIC_SPECIES
Co 58.93 Co.upf
Cs 132.91 Cs.upf
I 126.90 I.upf
La 138.91 La.upf
CELL_PARAMETERS angstrom
6.9978 -9.6463 0.0000
6.9978 9.6463 0.0000
-0.8413 0.0000 9.8723
ATOMIC_POSITIONS crystal
Co 0.6467 0.6467 0.4281
Co 0.3533 0.3533 0.5719
Cs 0.8271 0.1729 0.0000
Cs 0.1729 0.8271 0.0000
I 0.5000 0.5000 0.0000
I 0.2157 0.2157 0.1277
I 0.8869 0.5541 0.1359
I 0.5541 0.8869 0.1359
I 0.6015 0.2560 0.2704
I 0.2560 0.6015 0.2704
I 0.9373 0.9373 0.2776
I 0.9726 0.3105 0.4177
I 0.3105 0.9726 0.4177
I 0.6895 0.0274 0.5823
I 0.0274 0.6895 0.5823
I 0.0627 0.0627 0.7224
I 0.7440 0.3985 0.7296
I 0.3985 0.7440 0.7296
I 0.4459 0.1131 0.8641
I 0.1131 0.4459 0.8641
I 0.7843 0.7843 0.8723
La 0.7013 0.7013 0.1953
La 0.4310 0.4310 0.3339
La 0.7952 0.4903 0.4284
La 0.4903 0.7952 0.4284
La 0.1668 0.1668 0.4390
La 0.8332 0.8332 0.5610
La 0.5097 0.2048 0.5716
La 0.2048 0.5097 0.5716
La 0.5690 0.5690 0.6661
La 0.2987 0.2987 0.8047